VASP calculation (GGA-PBE) on a relaxed SrCuIr crystal.

a b c (Å): 4.4386 5.9783 6.0209
angles (deg): 69.83 68.49 89.81
Last column: nearest neighbours and their distance in Å.
Element x y z (fractional)
1 Sr 0.1069 0.3097 0.2869  3 Ir 3.06-3.36, 5 Cu 3.17-3.32
2 Sr 0.8931 0.6903 0.7131  3 Ir 3.06-3.36, 5 Cu 3.17-3.32
3 Cu 0.4022 0.3091 0.6940  1 Cu 2.50, 3 Ir 2.53-2.68
4 Cu 0.5978 0.6909 0.3060  1 Cu 2.50, 3 Ir 2.53-2.68
5 Ir 0.2169 0.9102 0.0674  2 Ir 2.46, 3 Cu 2.53-2.68
6 Ir 0.7831 0.0898 0.9326  2 Ir 2.46, 3 Cu 2.53-2.68

Values from the calculation:
For the formation enthalpy at 0 K, the calculation gives -0.15 eV per atom. The total energy is -5.032 eV/atom. The total magnetization comes out at 0.00 μB per formula unit. Its symmetry is P-1.